Arrangement w

A plane-wave DFT calculation with PBE was carried out for an optimized crystal structure of Li2La2Cd.

Output
Volume, Å³ per cell: 282
DOS(E_F), states/eV/atom: 0.794

Cell and atoms, written as CIF:
```
data_Li2La2Cd
_space_group_name_H-M_alt 'P 1'
_space_group_IT_number 1
_space_group_name_Hall 'P 1'
_cell_length_a 8.828
_cell_length_b 8.828
_cell_length_c 3.618
_cell_angle_alpha 90.00
_cell_angle_beta 90.00
_cell_angle_gamma 90.00
loop_
_atom_site_label
_atom_site_type_symbol
_atom_site_fract_x
_atom_site_fract_y
_atom_site_fract_z
La1 La 0.880 0.620 0.000
La2 La 0.620 0.120 0.000
La3 La 0.120 0.380 0.000
La4 La 0.380 0.880 0.000
Cd1 Cd 0.500 0.500 0.000
Cd2 Cd 0.000 0.000 0.000
Li1 Li 0.823 0.323 0.500
Li2 Li 0.323 0.177 0.500
Li3 Li 0.177 0.677 0.500
Li4 Li 0.677 0.823 0.500
```


Arrangement x

A plane-wave DFT calculation with PBE was carried out for an optimized crystal structure of Li2La2Cd.

Output
Volume, Å³ per cell: 262
DOS(E_F), states/eV/atom: 0.674

Cell and atoms, written as CIF:
```
data_Li2La2Cd
_space_group_name_H-M_alt 'P 1'
_space_group_IT_number 1
_space_group_name_Hall 'P 1'
_cell_length_a 7.005
_cell_length_b 7.005
_cell_length_c 5.343
_cell_angle_alpha 90.00
_cell_angle_beta 90.00
_cell_angle_gamma 90.00
loop_
_atom_site_label
_atom_site_type_symbol
_atom_site_fract_x
_atom_site_fract_y
_atom_site_fract_z
Li1 Li 0.632 0.132 0.000
Li2 Li 0.132 0.368 0.000
Li3 Li 0.368 0.868 0.000
Li4 Li 0.868 0.632 0.000
Cd1 Cd 0.500 0.500 0.000
Cd2 Cd 0.000 0.000 0.000
La1 La 0.323 0.177 0.500
La2 La 0.823 0.323 0.500
La3 La 0.677 0.823 0.500
La4 La 0.177 0.677 0.500
```


Arrangement y

A plane-wave DFT calculation with PBE was carried out for an optimized crystal structure of Li2La2Cd.

Output
Volume, Å³ per cell: 139
DOS(E_F), states/eV/atom: 1.167

Cell and atoms, written as CIF:
```
data_Li2La2Cd
_space_group_name_H-M_alt 'P 1'
_space_group_IT_number 1
_space_group_name_Hall 'P 1'
_cell_length_a 5.964
_cell_length_b 5.964
_cell_length_c 5.746
_cell_angle_alpha 58.74
_cell_angle_beta 58.74
_cell_angle_gamma 90.00
loop_
_atom_site_label
_atom_site_type_symbol
_atom_site_fract_x
_atom_site_fract_y
_atom_site_fract_z
La1 La 0.250 0.750 0.500
La2 La 0.750 0.250 0.500
Li1 Li 0.643 0.643 0.714
Li2 Li 0.357 0.357 0.286
Cd1 Cd 0.000 0.000 0.000
```


arrangement x comes first in stability; the runner-up is 179 meV/atom higher.


Arrangement w

A plane-wave DFT calculation with PBE was carried out for an optimized crystal structure of Li2LaCd6.

Output
Volume, Å³ per cell: 213
DOS(E_F), states/eV/atom: 0.532

Cell and atoms, written as CIF:
```
data_Li2LaCd6
_space_group_name_H-M_alt 'P 1'
_space_group_IT_number 1
_space_group_name_Hall 'P 1'
_cell_length_a 3.161
_cell_length_b 8.823
_cell_length_c 8.823
_cell_angle_alpha 120.00
_cell_angle_beta 90.00
_cell_angle_gamma 90.00
loop_
_atom_site_label
_atom_site_type_symbol
_atom_site_fract_x
_atom_site_fract_y
_atom_site_fract_z
Cd1 Cd 0.500 0.341 0.341
Cd2 Cd 0.500 0.000 0.341
Cd3 Cd 0.500 0.659 0.659
Cd4 Cd 0.500 0.659 0.000
Cd5 Cd 0.500 0.000 0.659
Cd6 Cd 0.500 0.341 0.000
Li1 Li 0.000 0.333 0.667
Li2 Li 0.000 0.667 0.333
La1 La 0.000 0.000 0.000
```


Arrangement x

A plane-wave DFT calculation with PBE was carried out for an optimized crystal structure of Li2LaCd6.

Output
Volume, Å³ per cell: 479
DOS(E_F), states/eV/atom: 0.639

Cell and atoms, written as CIF:
```
data_Li2LaCd6
_space_group_name_H-M_alt 'P 1'
_space_group_IT_number 1
_space_group_name_Hall 'P 1'
_cell_length_a 8.783
_cell_length_b 8.783
_cell_length_c 8.783
_cell_angle_alpha 60.00
_cell_angle_beta 60.00
_cell_angle_gamma 60.00
loop_
_atom_site_label
_atom_site_type_symbol
_atom_site_fract_x
_atom_site_fract_y
_atom_site_fract_z
Cd1 Cd 0.011 0.489 0.011
Cd2 Cd 0.011 0.011 0.489
Cd3 Cd 0.761 0.239 0.761
Cd4 Cd 0.239 0.239 0.761
Cd5 Cd 0.239 0.761 0.239
Cd6 Cd 0.489 0.011 0.489
Cd7 Cd 0.489 0.489 0.011
Cd8 Cd 0.489 0.011 0.011
Cd9 Cd 0.761 0.761 0.239
Cd10 Cd 0.761 0.239 0.239
Cd11 Cd 0.011 0.489 0.489
Cd12 Cd 0.239 0.761 0.761
Li1 Li 0.125 0.625 0.125
Li2 Li 0.625 0.125 0.125
Li3 Li 0.125 0.125 0.125
Li4 Li 0.125 0.125 0.625
La1 La 0.500 0.500 0.500
La2 La 0.750 0.750 0.750
```


arrangement w comes first in stability; the runner-up is 322 meV/atom higher.


Arrangement w

A plane-wave DFT calculation with PBE was carried out for an optimized crystal structure of LiLa3Cd2.

Output
Volume, Å³ per cell: 181
DOS(E_F), states/eV/atom: 1.375

Cell and atoms, written as CIF:
```
data_LiLa3Cd2
_space_group_name_H-M_alt 'P 1'
_space_group_IT_number 1
_space_group_name_Hall 'P 1'
_cell_length_a 4.018
_cell_length_b 5.482
_cell_length_c 8.664
_cell_angle_alpha 108.44
_cell_angle_beta 90.00
_cell_angle_gamma 90.00
loop_
_atom_site_label
_atom_site_type_symbol
_atom_site_fract_x
_atom_site_fract_y
_atom_site_fract_z
Cd1 Cd 0.000 0.337 0.674
Cd2 Cd 0.000 0.663 0.326
La1 La 0.500 0.832 0.665
La2 La 0.500 0.500 0.000
La3 La 0.500 0.168 0.335
Li1 Li 0.000 0.000 0.000
```


Arrangement x

A plane-wave DFT calculation with PBE was carried out for an optimized crystal structure of LiLa3Cd2.

Output
Volume, Å³ per cell: 182
DOS(E_F), states/eV/atom: 1.237

Cell and atoms, written as CIF:
```
data_LiLa3Cd2
_space_group_name_H-M_alt 'P 1'
_space_group_IT_number 1
_space_group_name_Hall 'P 1'
_cell_length_a 3.981
_cell_length_b 3.981
_cell_length_c 11.469
_cell_angle_alpha 90.00
_cell_angle_beta 90.00
_cell_angle_gamma 90.00
loop_
_atom_site_label
_atom_site_type_symbol
_atom_site_fract_x
_atom_site_fract_y
_atom_site_fract_z
La1 La 0.000 0.000 0.330
La2 La 0.000 0.000 0.670
La3 La 0.000 0.000 0.000
Cd1 Cd 0.500 0.500 0.169
Cd2 Cd 0.500 0.500 0.831
Li1 Li 0.500 0.500 0.500
```


arrangement w comes first in stability; the runner-up is 10 meV/atom higher.


Arrangement w

A plane-wave DFT calculation with PBE was carried out for an optimized crystal structure of LiLa6Cd.

Output
Volume, Å³ per cell: 264
DOS(E_F), states/eV/atom: 1.482

Cell and atoms, written as CIF:
```
data_LiLa6Cd
_space_group_name_H-M_alt 'P 1'
_space_group_IT_number 1
_space_group_name_Hall 'P 1'
_cell_length_a 10.096
_cell_length_b 10.096
_cell_length_c 10.096
_cell_angle_alpha 149.51
_cell_angle_beta 149.51
_cell_angle_gamma 43.66
loop_
_atom_site_label
_atom_site_type_symbol
_atom_site_fract_x
_atom_site_fract_y
_atom_site_fract_z
Cd1 Cd 0.500 0.500 0.000
La1 La 0.886 0.386 0.500
La2 La 0.614 0.114 0.500
La3 La 0.249 0.249 0.000
La4 La 0.114 0.614 0.500
La5 La 0.386 0.886 0.500
La6 La 0.751 0.751 0.000
Li1 Li 0.000 0.000 0.000
```


Arrangement x

A plane-wave DFT calculation with PBE was carried out for an optimized crystal structure of LiLa6Cd.

Output
Volume, Å³ per cell: 254
DOS(E_F), states/eV/atom: 1.111

Cell and atoms, written as CIF:
```
data_LiLa6Cd
_space_group_name_H-M_alt 'P 1'
_space_group_IT_number 1
_space_group_name_Hall 'P 1'
_cell_length_a 6.708
_cell_length_b 9.008
_cell_length_c 6.588
_cell_angle_alpha 66.04
_cell_angle_beta 85.28
_cell_angle_gamma 46.82
loop_
_atom_site_label
_atom_site_type_symbol
_atom_site_fract_x
_atom_site_fract_y
_atom_site_fract_z
La1 La 0.822 0.939 0.634
La2 La 0.834 0.731 0.270
La3 La 0.166 0.269 0.730
La4 La 0.178 0.061 0.366
La5 La 0.395 0.366 0.060
La6 La 0.605 0.634 0.940
Li1 Li 0.000 0.000 0.000
Cd1 Cd 0.500 0.500 0.500
```


arrangement w comes first in stability; the runner-up is 48 meV/atom higher.


Arrangement w

A plane-wave DFT calculation with PBE was carried out for an optimized crystal structure of LiLa2CdNi.

Output
Volume, Å³ per cell: 147
DOS(E_F), states/eV/atom: 1.074

Cell and atoms, written as CIF:
```
data_LiLa2CdNi
_space_group_name_H-M_alt 'P 1'
_space_group_IT_number 1
_space_group_name_Hall 'P 1'
_cell_length_a 5.376
_cell_length_b 5.376
_cell_length_c 5.084
_cell_angle_alpha 90.00
_cell_angle_beta 90.00
_cell_angle_gamma 90.00
loop_
_atom_site_label
_atom_site_type_symbol
_atom_site_fract_x
_atom_site_fract_y
_atom_site_fract_z
La1 La 0.500 0.000 0.000
La2 La 0.000 0.500 0.000
Li1 Li 0.500 0.500 0.500
Cd1 Cd 0.000 0.000 0.500
Ni1 Ni 0.000 0.000 0.000
```


Arrangement x

A plane-wave DFT calculation with PBE was carried out for an optimized crystal structure of LiLa2CdNi.

Output
Volume, Å³ per cell: 139
DOS(E_F), states/eV/atom: 1.183

Cell and atoms, written as CIF:
```
data_LiLa2CdNi
_space_group_name_H-M_alt 'P 1'
_space_group_IT_number 1
_space_group_name_Hall 'P 1'
_cell_length_a 5.382
_cell_length_b 5.382
_cell_length_c 4.799
_cell_angle_alpha 90.00
_cell_angle_beta 90.00
_cell_angle_gamma 90.00
loop_
_atom_site_label
_atom_site_type_symbol
_atom_site_fract_x
_atom_site_fract_y
_atom_site_fract_z
Cd1 Cd 0.500 0.500 0.500
Li1 Li 0.000 0.000 0.500
La1 La 0.500 0.000 0.000
La2 La 0.000 0.500 0.000
Ni1 Ni 0.000 0.000 0.000
```


arrangement x comes first in stability; the runner-up is 26 meV/atom higher.


Arrangement w

A plane-wave DFT calculation with PBE was carried out for an optimized crystal structure of LiLaCd2Ni.

Output
Volume, Å³ per cell: 116
DOS(E_F), states/eV/atom: 0.847

Cell and atoms, written as CIF:
```
data_LiLaCd2Ni
_space_group_name_H-M_alt 'P 1'
_space_group_IT_number 1
_space_group_name_Hall 'P 1'
_cell_length_a 5.028
_cell_length_b 5.028
_cell_length_c 4.595
_cell_angle_alpha 90.00
_cell_angle_beta 90.00
_cell_angle_gamma 90.00
loop_
_atom_site_label
_atom_site_type_symbol
_atom_site_fract_x
_atom_site_fract_y
_atom_site_fract_z
Ni1 Ni 0.000 0.000 0.000
La1 La 0.500 0.500 0.500
Cd1 Cd 0.000 0.500 0.000
Cd2 Cd 0.500 0.000 0.000
Li1 Li 0.000 0.000 0.500
```


Arrangement x

A plane-wave DFT calculation with PBE was carried out for an optimized crystal structure of LiLaCd2Ni.

Output
Volume, Å³ per cell: 132
DOS(E_F), states/eV/atom: 0.844

Cell and atoms, written as CIF:
```
data_LiLaCd2Ni
_space_group_name_H-M_alt 'P 1'
_space_group_IT_number 1
_space_group_name_Hall 'P 1'
_cell_length_a 5.144
_cell_length_b 5.144
_cell_length_c 5.002
_cell_angle_alpha 90.00
_cell_angle_beta 90.00
_cell_angle_gamma 90.00
loop_
_atom_site_label
_atom_site_type_symbol
_atom_site_fract_x
_atom_site_fract_y
_atom_site_fract_z
Cd1 Cd 0.000 0.500 0.000
Cd2 Cd 0.500 0.000 0.000
Li1 Li 0.500 0.500 0.500
La1 La 0.000 0.000 0.500
Ni1 Ni 0.000 0.000 0.000
```


arrangement x comes first in stability; the runner-up is 66 meV/atom higher.